First-principles (PBE-GGA) data for a relaxed structure of Bi2Pt2Se, as listed in Alexandria.

As for the formation energy from raw total energies: -0.182 eV/atom. The relative energy among the computed polymorphs is 0.0 kJ/mol of atoms. As for the total energy: -48.5 eV/cell.

The space group is I4/mmm (No. 139) and the conventional cell measures 3.906, 3.906 and 15.664 Å, with angles of 90.00, 90.00 and 90.00 degrees. The distinct sites, in fractional coordinates, are Bi at (0.000, 0.000, 0.118), Pt at (0.000, 0.500, 0.250) and Se at (0.000, 0.000, 0.500).